Run a
This record from Alexandria describes a geometry-optimized MnRe2O8 structure. The functional is GGA+U.

a b c (Å): 7.354 7.354 5.470
angles (deg): 83.84 83.84 47.51
Site moments in Bohr magnetons follow the coordinates.
Positions (direct):
O1 0.280 0.280 0.354  0.01
O2 0.123 0.661 0.791  0.03
O3 0.096 0.096 0.682  -0.01
O4 0.339 0.877 0.209  0.03
O5 0.661 0.123 0.791  0.03
Mn1 0.000 0.000 0.000  4.62
O6 0.720 0.720 0.646  0.01
Re1 0.849 0.849 0.630  0.03
O7 0.877 0.339 0.209  0.03
Re2 0.151 0.151 0.370  0.03
O8 0.904 0.904 0.318  -0.01

magnetic moment = 0.455 μB/atom

***

Run b
This record from Alexandria describes a geometry-optimized MnRe2O8 structure. The functional is GGA+U.

a b c (Å): 5.942 5.942 6.711
angles (deg): 90.00 90.00 120.00
Site moments in Bohr magnetons follow the coordinates.
Positions (direct):
Re1 0.333 0.667 0.272  0.06
O1 0.172 0.828 0.185  0.01
O2 0.828 0.656 0.815  0.01
O3 0.333 0.667 0.531  0.01
O4 0.667 0.333 0.469  0.01
O5 0.828 0.172 0.815  0.01
O6 0.656 0.828 0.185  0.01
O7 0.344 0.172 0.815  0.01
Re2 0.667 0.333 0.728  0.06
O8 0.172 0.344 0.185  0.01
Mn1 0.000 0.000 0.000  4.62

magnetic moment = 0.455 μB/atom

***

The structure with the greatest stability is run b.